#a
Entry from Alexandria via LeMat-Bulk: crystalline BeIr2I2 at its relaxed geometry (GGA-PBE).

The density of states at the Fermi level comes out at 2.55 states/eV per cell. For the mass density, the calculation gives 10.00 Mg/m³.

a b c (Å): 5.294 5.294 5.294
angles (deg): 118.25 118.25 93.05
Sites, in units of the cell vectors:
1 Be 0.000 0.000 0.000
2 Ir 0.295 0.295 0.000
3 Ir 0.705 0.705 0.000
4 I 0.250 0.750 0.500
5 I 0.750 0.250 0.500

#b
Entry from Alexandria via LeMat-Bulk: crystalline BeIr2I2 at its relaxed geometry (GGA-PBE).

The density of states at the Fermi level comes out at 5.62 states/eV per cell. For the mass density, the calculation gives 11.23 Mg/m³.

a b c (Å): 6.397 6.397 4.679
angles (deg): 90.00 90.00 90.00
Sites, in units of the cell vectors:
1 Be 0.000 0.000 0.000
2 Be 0.500 0.500 0.000
3 Ir 0.154 0.346 0.000
4 Ir 0.346 0.846 0.000
5 Ir 0.654 0.154 0.000
6 Ir 0.846 0.654 0.000
7 I 0.188 0.688 0.500
8 I 0.312 0.188 0.500
9 I 0.688 0.812 0.500
10 I 0.812 0.312 0.500

Most favorable first, least favorable last: #a, #b

#a
Entry from Alexandria via LeMat-Bulk: crystalline BeIr3I at its relaxed geometry (GGA-PBE).

The density of states at the Fermi level comes out at 7.36 states/eV per cell. For the mass density, the calculation gives 10.49 Mg/m³.

a b c (Å): 4.832 4.832 4.832
angles (deg): 90.00 90.00 90.00
Sites, in units of the cell vectors:
1 Be 0.000 0.000 0.000
2 Ir 0.000 0.500 0.500
3 Ir 0.500 0.000 0.500
4 Ir 0.500 0.500 0.000
5 I 0.500 0.500 0.500

#b
Entry from Alexandria via LeMat-Bulk: crystalline BeIr3I at its relaxed geometry (GGA-PBE).

The density of states at the Fermi level comes out at 4.51 states/eV per cell. For the mass density, the calculation gives 14.86 Mg/m³.

a b c (Å): 4.302 4.302 4.302
angles (deg): 90.00 90.00 90.00
Sites, in units of the cell vectors:
1 Be 0.000 0.000 0.000
2 Ir 0.000 0.000 0.500
3 Ir 0.000 0.500 0.000
4 Ir 0.500 0.000 0.000
5 I 0.500 0.500 0.500

Most favorable first, least favorable last: #b, #a

#a
Entry from Alexandria via LeMat-Bulk: crystalline BeIrI3 at its relaxed geometry (GGA-PBE).

The density of states at the Fermi level comes out at 4.61 states/eV per cell. For the mass density, the calculation gives 7.13 Mg/m³.

a b c (Å): 5.137 5.137 5.137
angles (deg): 90.00 90.00 90.00
Sites, in units of the cell vectors:
1 Be 0.000 0.000 0.000
2 Ir 0.500 0.500 0.500
3 I 0.000 0.000 0.500
4 I 0.000 0.500 0.000
5 I 0.500 0.000 0.000

#b
Entry from Alexandria via LeMat-Bulk: crystalline BeIrI3 at its relaxed geometry (GGA-PBE).

The density of states at the Fermi level comes out at 3.93 states/eV per cell. For the mass density, the calculation gives 6.06 Mg/m³.

a b c (Å): 5.422 5.422 5.422
angles (deg): 90.00 90.00 90.00
Sites, in units of the cell vectors:
1 Be 0.000 0.000 0.000
2 Ir 0.500 0.500 0.500
3 I 0.000 0.500 0.500
4 I 0.500 0.000 0.500
5 I 0.500 0.500 0.000

Most favorable first, least favorable last: #b, #a

#a
Entry from Alexandria via LeMat-Bulk: crystalline BeIrI2N at its relaxed geometry (GGA-PBE).

The density of states at the Fermi level comes out at 3.28 states/eV per cell. For the mass density, the calculation gives 8.81 Mg/m³.

a b c (Å): 5.335 5.335 3.105
angles (deg): 90.00 90.00 90.00
Sites, in units of the cell vectors:
1 Be 0.000 0.000 0.000
2 Ir 0.500 0.500 0.500
3 I 0.000 0.500 0.000
4 I 0.500 0.000 0.000
5 N 0.000 0.000 0.500

#b
Entry from Alexandria via LeMat-Bulk: crystalline BeIrI2N at its relaxed geometry (GGA-PBE).

The density of states at the Fermi level comes out at 1.99 states/eV per cell. For the mass density, the calculation gives 6.68 Mg/m³.

a b c (Å): 5.609 5.609 3.706
angles (deg): 90.00 90.00 90.00
Sites, in units of the cell vectors:
1 Be 0.000 0.000 0.000
2 Ir 0.500 0.500 0.500
3 I 0.000 0.500 0.500
4 I 0.500 0.000 0.500
5 N 0.500 0.500 0.000

Most favorable first, least favorable last: #b, #a